[1]
Entry from Alexandria via LeMat-Bulk: a PBEsol-optimized structure of U2CuP2H24O24 (meta-GGA SCAN).

a b c (Å): 6.9327 6.9327 20.3978
angles (deg): 90.00 90.00 90.00
Space group P4/nnc (No. 126, origin choice 2)
Inequivalent atoms, fractional coordinates:
U  0.2500  0.2500  0.0426 (multiplicity 4)
Cu  0.2500  0.2500  0.2500 (multiplicity 2)
P  0.2500  0.7500  0.0000 (multiplicity 4)
H  0.0737  0.6444  0.1211 (multiplicity 16)
H  0.0879  0.1125  0.8368 (multiplicity 16)
H  0.0981  0.6601  0.7200 (multiplicity 16)
O  0.0090  0.6704  0.1636 (multiplicity 16)
O  0.0256  0.7500  0.7500 (multiplicity 8)
O  0.0768  0.7019  0.5452 (multiplicity 16)
O  0.2500  0.2500  0.1311 (multiplicity 4)
O  0.2500  0.2500  0.5458 (multiplicity 4)

Values from the calculation:
- density (g cm⁻³) = 3.4
- DFT total energy (eV/atom) = -10.553

---

[2]
Entry from Alexandria via LeMat-Bulk: a PBEsol-optimized structure of RbTi2BiI (meta-GGA SCAN).

a b c (Å): 5.2142 5.2142 6.1252
angles (deg): 90.00 90.00 90.00
Space group P4/mmm (No. 123)
Inequivalent atoms, fractional coordinates:
Rb  0.0000  0.0000  0.0000 (multiplicity 1)
Ti  0.0000  0.5000  0.5000 (multiplicity 2)
Bi  0.5000  0.5000  0.0000 (multiplicity 1)
I  0.0000  0.0000  0.5000 (multiplicity 1)

Values from the calculation:
- density (g cm⁻³) = 5.2
- energy relative to the elements, uncorrected (eV per atom) = 0.632
- DOS(E_F) (states/eV/cell) = 2.9
- DFT total energy (eV/atom) = -32.992

---

[3]
Entry from Alexandria via LeMat-Bulk: a PBEsol-optimized structure of TlGe2Au2 (meta-GGA SCAN).

a b c (Å): 4.4584 4.4584 10.8734
angles (deg): 90.00 90.00 90.00
Space group I4/mmm (No. 139)
Inequivalent atoms, fractional coordinates:
Tl  0.0000  0.0000  0.0000 (multiplicity 2)
Ge  0.0000  0.5000  0.2500 (multiplicity 4)
Au  0.0000  0.0000  0.3739 (multiplicity 4)

Values from the calculation:
- DFT formation energy (meV per atom) = 0
- density (g cm⁻³) = 11.4
- DOS(E_F) (states/eV/cell) = 4.0
- DFT total energy (eV/atom) = -49.770

---

[4]
Entry from Alexandria via LeMat-Bulk: a PBEsol-optimized structure of Ti4O5 (meta-GGA SCAN).

a b c (Å): 6.5554 6.5554 4.1339
angles (deg): 90.00 90.00 90.00
Space group I4/m (No. 87)
Inequivalent atoms, fractional coordinates:
Ti  0.1069  0.7155  0.0000 (multiplicity 8)
O  0.0000  0.0000  0.0000 (multiplicity 2)
O  0.0918  0.6922  0.5000 (multiplicity 8)

Values from the calculation:
- density (g cm⁻³) = 5.1
- energy relative to the elements, uncorrected (eV per atom) = -2.957
- DOS(E_F) (states/eV/cell) = 5.9
- DFT total energy (eV/atom) = -13.543

---

[5]
Entry from Alexandria via LeMat-Bulk: a PBEsol-optimized structure of MnSCl3 (meta-GGA SCAN).

a b c (Å): 4.7703 4.7703 4.7703
angles (deg): 90.00 90.00 90.00
Space group Pm-3m (No. 221)
Inequivalent atoms, fractional coordinates:
Mn  0.0000  0.0000  0.0000 (multiplicity 1)
S  0.5000  0.5000  0.5000 (multiplicity 1)
Cl  0.0000  0.0000  0.5000 (multiplicity 3)

Values from the calculation:
- density (g cm⁻³) = 3.0
- energy relative to the elements, uncorrected (eV per atom) = -0.425
- DOS(E_F) (states/eV/cell) = 2.9
- DFT total energy (eV/atom) = -10.789

---

[6]
Entry from Alexandria via LeMat-Bulk: a PBEsol-optimized structure of CuNi2Br (meta-GGA SCAN).

a b c (Å): 5.8767 5.8767 5.8767
angles (deg): 90.00 90.00 90.00
Space group Fm-3m (No. 225)
Inequivalent atoms, fractional coordinates:
Cu  0.0000  0.0000  0.0000 (multiplicity 4)
Ni  0.2500  0.2500  0.2500 (multiplicity 8)
Br  0.0000  0.0000  0.5000 (multiplicity 4)

Values from the calculation:
- density (g cm⁻³) = 8.5
- energy relative to the elements, uncorrected (eV per atom) = 0.728
- DOS(E_F) (states/eV/cell) = 15.1
- DFT total energy (eV/atom) = -16.023

---

[7]
Entry from Alexandria via LeMat-Bulk: a PBEsol-optimized structure of NbAgSeCl2 (meta-GGA SCAN).

a b c (Å): 4.9423 4.9423 5.0003
angles (deg): 90.00 90.00 90.00
Space group P4/mmm (No. 123)
Inequivalent atoms, fractional coordinates:
Nb  0.0000  0.0000  0.0000 (multiplicity 1)
Ag  0.5000  0.5000  0.0000 (multiplicity 1)
Se  0.5000  0.5000  0.5000 (multiplicity 1)
Cl  0.0000  0.5000  0.5000 (multiplicity 2)

Values from the calculation:
- density (g cm⁻³) = 4.8
- energy relative to the elements, uncorrected (eV per atom) = 0.847
- DOS(E_F) (states/eV/cell) = 5.4
- DFT total energy (eV/atom) = -19.259

---

[8]
Entry from Alexandria via LeMat-Bulk: a PBEsol-optimized structure of SrMo2Se (meta-GGA SCAN).

a b c (Å): 3.3131 3.3131 7.3971
angles (deg): 90.00 90.00 90.00
Space group P4mm (No. 99)
Inequivalent atoms, fractional coordinates:
Sr  0.0000  0.0000  0.0000 (multiplicity 1)
Mo  0.0000  0.0000  0.4938 (multiplicity 1)
Mo  0.5000  0.5000  0.3339 (multiplicity 1)
Se  0.5000  0.5000  0.7008 (multiplicity 1)

Values from the calculation:
- density (g cm⁻³) = 7.3
- energy relative to the elements, uncorrected (eV per atom) = 0.077
- DOS(E_F) (states/eV/cell) = 2.5
- DFT total energy (eV/atom) = -27.954

---

[9]
Entry from Alexandria via LeMat-Bulk: a PBEsol-optimized structure of Rb3NbPt (meta-GGA SCAN).

a b c (Å): 6.2239 6.2239 6.2239
angles (deg): 90.00 90.00 90.00
Space group Pm-3m (No. 221)
Inequivalent atoms, fractional coordinates:
Rb  0.0000  0.0000  0.5000 (multiplicity 3)
Nb  0.5000  0.5000  0.5000 (multiplicity 1)
Pt  0.0000  0.0000  0.0000 (multiplicity 1)

Values from the calculation:
- DFT formation energy (meV per atom) = 997
- density (g cm⁻³) = 3.7
- DOS(E_F) (states/eV/cell) = 7.1
- DFT total energy (eV/atom) = -32.111

---

[10]
Entry from Alexandria via LeMat-Bulk: a PBEsol-optimized structure of Si2AsAu (meta-GGA SCAN).

a b c (Å): 3.5494 3.5494 18.8458
angles (deg): 90.00 90.00 120.00
Space group R-3m (No. 166, hexagonal axes)
Inequivalent atoms, fractional coordinates:
Si  0.0000  0.0000  0.2502 (multiplicity 6)
As  0.0000  0.0000  0.0000 (multiplicity 3)
Au  0.0000  0.0000  0.5000 (multiplicity 3)

Values from the calculation:
- density (g cm⁻³) = 7.9
- energy relative to the elements, uncorrected (eV per atom) = 0.123
- DOS(E_F) (states/eV/cell) = 4.3
- DFT total energy (eV/atom) = -27.222

---

[11]
Entry from Alexandria via LeMat-Bulk: a PBEsol-optimized structure of CaLaPt2 (meta-GGA SCAN).

a b c (Å): 4.4058 3.9164 10.7320
angles (deg): 90.00 90.00 90.00
Space group Amm2 (No. 38)
Inequivalent atoms, fractional coordinates:
Ca  0.0000  0.0000  0.0000 (multiplicity 2)
La  0.5000  0.0000  0.7200 (multiplicity 2)
Pt  0.0000  0.0000  0.2789 (multiplicity 2)
Pt  0.5000  0.0000  0.4442 (multiplicity 2)

Values from the calculation:
- DFT formation energy (meV per atom) = -1231
- density (g cm⁻³) = 10.2
- DOS(E_F) (states/eV/cell) = 3.6
- DFT total energy (eV/atom) = -49.519

---

[12]
Entry from Alexandria via LeMat-Bulk: a PBEsol-optimized structure of TlP2Pd (meta-GGA SCAN).

a b c (Å): 5.5542 5.5542 11.7552
angles (deg): 90.00 90.00 90.00
Space group I-42d (No. 122)
Inequivalent atoms, fractional coordinates:
Tl  0.0000  0.0000  0.0000 (multiplicity 4)
P  0.1907  0.2500  0.6250 (multiplicity 8)
Pd  0.0000  0.0000  0.5000 (multiplicity 4)

Values from the calculation:
- DFT formation energy (meV per atom) = 84
- density (g cm⁻³) = 6.8
- DOS(E_F) (states/eV/cell) = 7.3
- DFT total energy (eV/atom) = -31.399

---

The records above give, respectively, size of the total moment values of 1.02; 4.98; 0.00; 0.00; 7.16; 0.00; 4.02; 0.31; 6.01; 0.00; 0.00; 0.00 μB per formula unit.